Entry 1:
A plane-wave DFT calculation with GGA-PBE was carried out for a relaxed Zr2TlTe crystal.

```
Zr2TlTe
1.0
6.572 0.210 -0.028
3.699 5.437 0.028
-4.684 -3.645 2.831
Zr Te Tl
2 1 1
direct
0.964 0.964 0.000
0.733 0.233 0.500
0.532 0.532 0.000
0.272 0.772 0.500
```

- Density of states at the Fermi level: 0.74 states/eV per atom
- ΔE_f (raw): -0.97 eV per formula unit
- ρ: 8.61 Mg/m³
- Magnetic moment: 0.00 μB per cell

Entry 2:
A plane-wave DFT calculation with GGA-PBE was carried out for a relaxed Li2HPb crystal.

```
Li2HPb
1.0
-0.857 -2.279 3.878
-4.242 -0.075 1.722
-2.448 -3.868 -0.111
Pb Li H
1 2 1
direct
0.500 0.500 0.500
0.250 0.250 0.250
0.750 0.750 0.750
0.000 0.000 0.000
```

- Density of states at the Fermi level: 0.48 states/eV per atom
- ρ: 5.43 Mg/m³
- Magnetic moment: 0.00 μB per cell
- Energy: -9.67 eV per cell

Entry 3:
A plane-wave DFT calculation with GGA-PBE was carried out for a relaxed BaCo2P crystal.

```
BaCo2P
1.0
5.252 -0.016 -0.007
0.181 5.249 0.007
-1.678 -3.695 3.335
Co Ba P
2 1 1
direct
0.735 0.235 0.500
0.893 0.893 0.000
0.270 0.770 0.500
0.602 0.602 0.000
```

- Density of states at the Fermi level: 0.66 states/eV per atom
- ρ: 5.16 Mg/m³
- Magnetic moment: 2.78 μB per cell
- Energy of formation: 0.118 eV per atom

Entry 4:
A plane-wave DFT calculation with GGA-PBE was carried out for a relaxed LiMgBN2 crystal.

```
LiMgBN2
1.0
-2.822 -0.632 2.484
-1.043 -3.092 -1.972
0.801 -4.359 2.726
Li B Mg N
1 1 1 2
direct
0.750 0.250 0.500
0.500 0.500 0.000
0.250 0.750 0.500
0.651 0.651 0.698
0.349 0.349 0.302
```

- Density of states at the Fermi level: 0.00 states/eV per atom
- ΔE_f (raw): -4.73 eV per formula unit
- ρ: 1.80 Mg/m³
- Magnetic moment: 0.00 μB per cell